Tb2Pm5Tm4: optimized geometry, PBE.

```
11
Lattice="6.691 0.361 1.573 2.715 6.127 1.573 -0.311 -0.215 8.984" Properties=species:S:1:pos:R:3 pbc="T T T"
Tb 1.341 0.925 8.095
Tb 7.754 5.348 4.035
Pm 4.833 1.440 8.793
Pm 4.262 4.832 3.336
Pm -0.156 -0.107 4.492
Pm 3.063 4.006 8.793
Pm 6.031 2.267 3.336
Tm 3.130 2.159 5.556
Tm 5.964 4.114 6.574
Tm 6.402 4.415 9.855
Tm 2.693 1.857 2.275
```

Computed properties:
- formation energy from the elements (meV/atom) = 169
- energy above the lowest structure with this stoichiometry (meV/atom) = 0